Material: Rb4Np3HgSe8
Method: DFT, GGA-PBE
State: relaxed

```
16
Lattice="8.647 0.000 0.000 0.000 9.340 0.479 -4.323 -4.309 6.119" Properties=species:S:1:pos:R:3 pbc="T T T"
Np -2.162 2.515 3.299
Se 0.000 0.538 3.432
Rb -2.162 -2.154 3.060
Se -2.078 2.357 6.181
Rb 4.323 0.000 0.000
Se 4.323 4.492 3.166
Se 0.000 4.427 3.240
Se 6.402 2.674 0.418
Se 4.323 0.603 3.359
Rb 0.000 0.000 0.000
Se 2.245 2.674 0.418
Se 2.078 2.357 6.181
Np 2.162 2.515 3.299
Rb 2.162 -2.154 3.060
Np 4.323 4.670 0.240
Hg 0.000 4.670 0.240
```

* formation energy without anion corrections: -1.077 eV/atom
* uncorrected energy: -5.5062 eV/atom



Material: CaTc2Se
Method: DFT, GGA-PBE
State: relaxed

```
4
Lattice="3.031 -0.005 0.000 -1.180 2.792 0.000 0.000 0.000 8.661" Properties=species:S:1:pos:R:3 pbc="T T T"
Tc 0.000 0.000 8.321
Tc 0.000 0.000 4.670
Se 0.926 1.393 6.496
Ca 0.926 1.393 2.165
```

* formation energy without anion corrections: 0.670 eV/atom
* uncorrected energy: -5.8846 eV/atom



Material: Lu2ZrGa
Method: DFT, GGA-PBE
State: relaxed

```
4
Lattice="-2.143 -3.386 2.062 3.658 -2.603 -0.473 1.546 1.449 3.986" Properties=species:S:1:pos:R:3 pbc="T T T"
Zr -1.071 -1.693 1.031
Ga 1.531 -2.270 2.788
Lu 1.829 -1.301 -0.236
Lu 0.773 0.724 1.993
```

* ΔH_f (0 K): -0.225 eV/atom
* energy above the lowest structure with this stoichiometry: 58.2 meV per atom
* uncorrected energy: -5.3788 eV/atom



Material: BeCoPtRh
Method: DFT, GGA-PBE
State: relaxed

```
4
Lattice="-0.965 0.261 4.005 -3.957 0.002 1.173 -1.573 -3.274 1.961" Properties=species:S:1:pos:R:3 pbc="T T T"
Rh -1.624 -0.753 1.785
Pt -4.871 -2.259 5.354
Co 0.000 0.000 0.000
Be -3.248 -1.506 3.570
```

* ΔH_f (0 K): -0.234 eV/atom
* uncorrected energy: -6.2899 eV/atom



Material: AgB2PdAu
Method: DFT, GGA-PBE
State: relaxed

```
5
Lattice="-2.788 0.990 -0.874 -0.154 -3.814 1.589 0.293 3.429 5.633" Properties=species:S:1:pos:R:3 pbc="T T T"
Au -2.461 1.021 -0.126
B -2.174 1.459 2.189
B -0.544 1.440 2.407
Ag -0.036 0.841 5.428
Pd -1.468 -0.401 3.242
```

* ΔH_f (0 K): 0.213 eV/atom
* energy above the lowest structure with this stoichiometry: 27.3 meV per atom
* uncorrected energy: -4.7225 eV/atom



Material: CoBr
Method: DFT, GGA-PBE
State: relaxed

```
6
Lattice="1.794 6.278 0.010 -1.794 6.278 0.010 0.000 2.519 5.777" Properties=species:S:1:pos:R:3 pbc="T T T"
Co 0.000 12.469 4.582
Co 0.000 10.285 3.662
Co 0.000 4.920 5.363
Br 0.000 2.499 4.610
Br 0.000 9.200 1.229
Br 0.000 5.862 2.757
```

* formation energy without anion corrections: 0.095 eV/atom
* energy above the lowest structure with this stoichiometry: 208.9 meV per atom
* uncorrected energy: -4.2945 eV/atom